Record 1
Entry from the Alexandria database: a relaxed DyP2Pd5 crystal (PBE-GGA).

Output
- E_form: -0.73 eV/atom
- M_tot: 0.00 Bohr magnetons per cell
- Uncorrected energy: -5.90 eV/atom
- DOS(E_F): 0.398 states/eV/atom
- Density: 9.5 g cm⁻³

abc: 4.0512 7.0456 9.2561
angles: 90.00 90.00 90.00
Space group Immm (No. 71)
Unique sites:
Dy 0.0000 0.0000 0.0000 [2 per cell]
P 0.0000 0.5000 0.2532 [4 per cell]
Pd 0.0000 0.1991 0.3471 [8 per cell]
Pd 0.0000 0.5000 0.0000 [2 per cell]

=====

Record 2
Entry from the Alexandria database: a relaxed DyPPd3 crystal (PBE-GGA).

Output
- E_form: -0.69 eV/atom
- M_tot: 0.00 Bohr magnetons per cell
- Uncorrected energy: -5.81 eV/atom
- DOS(E_F): 0.209 states/eV/atom
- Density: 8.9 g cm⁻³

abc: 4.5709 4.5709 4.5709
angles: 90.00 90.00 90.00
Space group Pm-3m (No. 221)
Unique sites:
Dy 0.0000 0.0000 0.0000 [1 per cell]
P 0.5000 0.5000 0.5000 [1 per cell]
Pd 0.0000 0.5000 0.5000 [3 per cell]